Entry 1:
Entry from Alexandria via LeMat-Bulk: crystalline K4YEr3Se8 at its relaxed geometry (GGA-PBE).

Cell lengths 8.3787, 8.3787, 23.0316 Å; angles 90.00, 90.00, 120.00 degrees
Space group R-3m (No. 166, hexagonal axes)
One atom of each set of equivalent atoms:
K: 0.0000 0.0000 0.0000 (multiplicity 3)
K: 0.0000 0.5000 0.0000 (multiplicity 9)
Y: 0.0000 0.0000 0.5000 (multiplicity 3)
Er: 0.0000 0.5000 0.5000 (multiplicity 9)
Se: 0.0000 0.0000 0.2344 (multiplicity 6)
Se: 0.0021 0.5010 0.7652 (multiplicity 18)

* DFT total energy: -241.8 eV for the cell shown

Entry 2:
Entry from Alexandria via LeMat-Bulk: crystalline Pu2BeSiPd6 at its relaxed geometry (GGA-PBE).

Cell lengths 10.1134, 5.8221, 7.0255 Å; angles 90.00, 118.93, 90.00 degrees
Space group C2/m (No. 12)
One atom of each set of equivalent atoms:
Pu: 0.2167 0.0000 0.1522 (multiplicity 4)
Be: 0.0000 0.0000 0.5000 (multiplicity 2)
Si: 0.0000 0.5000 0.0000 (multiplicity 2)
Pd: 0.0187 0.2611 0.2977 (multiplicity 8)
Pd: 0.2418 0.0000 0.6994 (multiplicity 4)

* DFT total energy: -147.5 eV for the cell shown

Entry 3:
Entry from Alexandria via LeMat-Bulk: crystalline La3FeCl at its relaxed geometry (GGA-PBE).

Cell lengths 5.3423, 5.3423, 5.3423 Å; angles 90.00, 90.00, 90.00 degrees
Space group Pm-3m (No. 221)
One atom of each set of equivalent atoms:
La: 0.0000 0.0000 0.5000 (multiplicity 3)
Fe: 0.0000 0.0000 0.0000 (multiplicity 1)
Cl: 0.5000 0.5000 0.5000 (multiplicity 1)

* distance to the lowest polymorph of the same formula: 0.00 eV per formula unit

Entry 4:
Entry from Alexandria via LeMat-Bulk: crystalline LaAlZn2Au at its relaxed geometry (GGA-PBE).

Cell lengths 4.3171, 4.3347, 11.0657 Å; angles 90.00, 90.00, 90.00 degrees
Space group Imm2 (No. 44)
One atom of each set of equivalent atoms:
La: 0.0000 0.0000 0.0000 (multiplicity 2)
Al: 0.0000 0.5000 0.7463 (multiplicity 2)
Zn: 0.0000 0.0000 0.6145 (multiplicity 2)
Zn: 0.0000 0.5000 0.2395 (multiplicity 2)
Au: 0.0000 0.0000 0.3790 (multiplicity 2)

* DFT total energy: -34.2 eV for the cell shown

Entry 5:
Entry from Alexandria via LeMat-Bulk: crystalline Ta3B4Mo at its relaxed geometry (GGA-PBE).

Cell lengths 3.2295, 4.8134, 12.3870 Å; angles 90.00, 90.00, 90.00 degrees
Space group Immm (No. 71)
One atom of each set of equivalent atoms:
Ta: 0.0000 0.0000 0.0000 (multiplicity 2)
Ta: 0.0000 0.5000 0.1945 (multiplicity 4)
B: 0.0000 0.3228 0.3686 (multiplicity 8)
Mo: 0.0000 0.0000 0.5000 (multiplicity 2)

* DFT total energy: -153.7 eV for the cell shown

Entry 6:
Entry from Alexandria via LeMat-Bulk: crystalline KBa2LaF8 at its relaxed geometry (GGA-PBE).

Cell lengths 6.1016, 6.1016, 12.3328 Å; angles 90.00, 90.00, 90.00 degrees
Space group I-4m2 (No. 119)
One atom of each set of equivalent atoms:
K: 0.0000 0.0000 0.0000 (multiplicity 2)
Ba: 0.0000 0.0000 0.5000 (multiplicity 2)
Ba: 0.0000 0.5000 0.7500 (multiplicity 2)
La: 0.0000 0.5000 0.2500 (multiplicity 2)
F: 0.2292 0.2620 0.3651 (multiplicity 16)

* DFT total energy: -141.2 eV for the cell shown

Entry 7:
Entry from Alexandria via LeMat-Bulk: crystalline Mg2CoW at its relaxed geometry (GGA-PBE).

Cell lengths 2.7436, 2.7436, 8.3884 Å; angles 90.00, 90.00, 90.00 degrees
Space group P4/mmm (No. 123)
One atom of each set of equivalent atoms:
Mg: 0.0000 0.0000 0.2297 (multiplicity 2)
Co: 0.5000 0.5000 0.0000 (multiplicity 1)
W: 0.5000 0.5000 0.5000 (multiplicity 1)

* distance to the lowest polymorph of the same formula: 0.84 eV per formula unit